Record 1
# KBaGdMo3O12

Crystalline KBaGdMo3O12 at its relaxed geometry (GGA+U, Alexandria via LeMat-Bulk).

## Properties
magnetic moment = 0.03 μB/f.u.
energy = -7.633 eV per atom
V = 15.89 A^3/atom

Unit cell a=10.8217 b=10.8217 c=5.4056 alpha=77.06 beta=77.06 gamma=69.99
Each line ends with the local moment (μB).
Fractional positions:
K 0.7070 0.9660 0.1644  0.00
K 0.0340 0.2930 0.8356  0.00
Ba 0.2894 0.0433 0.3257  0.00
Ba 0.9567 0.7106 0.6743  0.00
Gd 0.6229 0.3771 0.0000  6.93
Gd 0.3843 0.6157 0.5000  -6.93
Mo 0.8529 0.1471 0.5000  0.01
Mo 0.1529 0.8471 0.0000  0.00
Mo 0.5446 0.7656 0.8515  0.00
Mo 0.2344 0.4554 0.1485  0.00
Mo 0.4525 0.2350 0.6455  0.00
Mo 0.7650 0.5475 0.3545  0.00
O 0.6129 0.5374 0.5993  0.00
O 0.4626 0.3871 0.4007  0.00
O 0.3849 0.4648 0.9029  0.00
O 0.5352 0.6151 0.0971  0.00
O 0.0151 0.1403 0.3247  0.00
O 0.8597 0.9849 0.6753  0.00
O 0.9921 0.8509 0.1768  0.00
O 0.1491 0.0079 0.8232  0.00
O 0.7603 0.6989 0.1356  -0.01
O 0.3011 0.2397 0.8644  -0.01
O 0.2437 0.3017 0.3611  0.00
O 0.6983 0.7563 0.6389  0.00
O 0.7319 0.1908 0.2834  -0.01
O 0.8092 0.2681 0.7166  -0.01
O 0.2709 0.8093 0.2211  0.00
O 0.1907 0.7291 0.7789  0.00
O 0.7950 0.4261 0.1496  -0.01
O 0.5739 0.2050 0.8504  -0.01
O 0.2020 0.5780 0.3556  0.00
O 0.4220 0.7980 0.6444  0.00
O 0.4908 0.0956 0.4904  0.00
O 0.9044 0.5092 0.5096  0.00
O 0.5029 0.9055 0.0055  0.00
O 0.0945 0.4971 0.9945  0.00



Record 2
# KBaGdWO6

Crystalline KBaGdWO6 at its relaxed geometry (GGA+U, Alexandria via LeMat-Bulk).

## Properties
magnetic moment = 7.00 μB/f.u.
energy = -8.059 eV per atom
V = 15.40 A^3/atom

Unit cell a=6.0160 b=6.0160 c=6.0160 alpha=60.00 beta=60.00 gamma=60.00
Each line ends with the local moment (μB).
Fractional positions:
K 0.2500 0.2500 0.2500  0.00
Ba 0.7500 0.7500 0.7500  0.00
Gd 0.0000 0.0000 0.0000  6.91
W 0.5000 0.5000 0.5000  0.02
O 0.2695 0.7305 0.2695  0.00
O 0.7305 0.2695 0.7305  0.00
O 0.2695 0.7305 0.7305  0.00
O 0.7305 0.2695 0.2695  0.00
O 0.2695 0.2695 0.7305  0.00
O 0.7305 0.7305 0.2695  0.00